No. 1
11
Lattice="7.1360 0.0015 0.0943 -3.5257 6.2042 0.0943 -1.2639 -2.1725 6.6343" Properties=species:S:1:pos:R:3 comment="Na2Pr2US6, optimized geometry, DFT PBE-GGA" sg="C2/m, No. 12" final_energy_ev_per_cell=-66.35 pbc="T T T"
Na 5.3412 1.0457 0.0943
Na -1.7309 5.1600 0.0943
Pr -0.5910 3.0430 3.4114
Pr 2.9374 0.9902 3.4114
U -0.6320 -1.0863 3.3171
S 1.8398 3.1624 4.9432
S -1.8087 0.8552 4.8476
S 0.5066 0.8708 1.8797
S 1.6374 -1.1497 4.8476
S 4.1551 3.1781 1.9753
S 0.7090 5.1829 1.9753

***

No. 2
20
Lattice="6.9822 0.0000 0.0139 0.0000 7.4610 0.0000 0.0817 0.0000 9.8609" Properties=species:S:1:pos:R:3 comment="Na2PrUS6, optimized geometry, DFT PBE-GGA" sg="P2_1/c, No. 14" final_energy_ev_per_cell=-110.92 pbc="T T T"
Na 0.2236 6.8746 2.4993
Na 3.7556 4.3169 7.4367
Na 6.8403 0.5864 7.3755
Na 3.3083 3.1441 2.4381
Pr 3.4911 0.0000 0.0069
Pr 0.0409 3.7305 4.9305
U 3.5320 0.0000 4.9374
U 0.0000 3.7305 0.0000
S 2.0036 5.1519 0.7061
S 5.5356 6.0396 5.6435
S 5.0603 2.3091 9.1687
S 1.5283 1.4214 4.2313
S 2.2784 5.3499 4.1565
S 5.8103 5.8415 9.0939
S 4.7855 2.1110 5.7183
S 1.2536 1.6195 0.7809
S 6.0170 4.0869 2.3222
S 2.5668 7.1045 7.2457
S 1.0469 3.3740 7.5526
S 4.4971 0.3564 2.6291